1.
Compound: BeW3
Source: Alexandria via LeMat-Bulk
Functional: meta-GGA SCAN
Structure: single point on PBEsol structure

Unit cell a=3.236 b=4.334 c=7.981 alpha=90.00 beta=90.00 gamma=90.00
Space group Cmmm (No. 65)
Asymmetric unit:
Be 0.000 0.000 0.000 (multiplicity 2)
W 0.000 0.000 0.500 (multiplicity 2)
W 0.000 0.500 0.222 (multiplicity 4)

Calculated values
Calculated total energy, eV per formula unit: -212.95
ΔH_f (0 K), eV/atom: 0.116
Energy relative to the lowest polymorph listed for this composition, eV/atom: 0.000

2.
Compound: Be3W
Source: Alexandria via LeMat-Bulk
Functional: meta-GGA SCAN
Structure: single point on PBEsol structure

Unit cell a=4.364 b=4.364 c=4.364 alpha=90.00 beta=90.00 gamma=90.00
Space group Pm-3n (No. 223)
Asymmetric unit:
Be 0.000 0.250 0.500 (multiplicity 6)
W 0.000 0.000 0.000 (multiplicity 2)

Calculated values
Calculated total energy, eV per formula unit: -80.92
ΔH_f (0 K), eV/atom: 0.457
Energy relative to the lowest polymorph listed for this composition, eV/atom: 0.097

3.
Compound: BeW2
Source: Alexandria via LeMat-Bulk
Functional: meta-GGA SCAN
Structure: single point on PBEsol structure

Unit cell a=4.2984 b=4.2984 c=2.6378 alpha=90.00 beta=90.00 gamma=120.00
Space group P-3m1 (No. 164)
Asymmetric unit:
Be 0.0000 0.0000 0.0000 (multiplicity 1)
W 0.3333 0.6667 0.6637 (multiplicity 2)

Calculated values
Calculated total energy, eV per formula unit: -143.23
ΔH_f (0 K), eV/atom: 0.165
Energy relative to the lowest polymorph listed for this composition, eV/atom: 0.000